VASP calculation (SCAN) on a PBEsol-optimized structure of Li2HgP.

Computed properties:
The value obtained for the calculated formation energy is -280 meV/atom. The total magnetization comes out at 0.000 μB/cell.

abc: 2.9787 2.9787 25.7273
angles: 90.00 90.00 120.00
Space group R-3m (No. 166, hexagonal axes)
One atom of each set of equivalent atoms:
Li: 0.0000 0.0000 0.2386
Hg: 0.0000 0.0000 0.0000
P: 0.0000 0.0000 0.5000